Run one
The following is a PBE calculation of a geometry-optimized ThAgRu structure, from Alexandria via LeMat-Bulk.

Properties
Total moment   0.00 μB/cell
Space group   Cmcm (63)

Cell: 9.180 9.180 3.877 Å, 90.00 90.00 156.28°
Sites, in units of the cell vectors:
Th 0.097 0.903 0.750
Th 0.903 0.097 0.250
Ag 0.284 0.716 0.750
Ag 0.716 0.284 0.250
Ru 0.445 0.555 0.750
Ru 0.555 0.445 0.250


Run two
The following is a PBE calculation of a geometry-optimized ThAgRu structure, from Alexandria via LeMat-Bulk.

Properties
Total moment   0.00 μB/cell
Space group   C2/m (12)

Cell: 5.300 5.300 7.654 Å, 117.18 117.18 44.22°
Sites, in units of the cell vectors:
Th 0.075 0.075 0.330
Th 0.925 0.925 0.670
Ag 0.332 0.332 0.947
Ag 0.668 0.668 0.053
Ru 0.345 0.345 0.339
Ru 0.655 0.655 0.661


Most stable structure among those shown: run one. Next: +74 meV/atom.